First-principles (PBE) data for Ba2RhCl6 after structural relaxation, as listed in Alexandria via LeMat-Bulk.

Output
**Total moment**: 0.111 μB per atom
**Formation energy from raw total energies**: -1.68 eV/atom

Geometry as CIF:
```
data_Ba2RhCl6
_space_group_name_H-M_alt 'P 42/m n m'
_space_group_IT_number 136
_space_group_name_Hall '-P 4n 2n'
_cell_length_a 6.8058
_cell_length_b 6.8058
_cell_length_c 12.9957
_cell_angle_alpha 90.00
_cell_angle_beta 90.00
_cell_angle_gamma 90.00
loop_
_atom_site_label
_atom_site_type_symbol
_atom_site_fract_x
_atom_site_fract_y
_atom_site_fract_z
Ba1 Ba 0.0000 0.0000 0.1663
Rh1 Rh 0.0000 0.0000 0.5000
Cl1 Cl 0.1755 0.1755 0.3668
Cl2 Cl 0.2185 0.2185 0.0000
```



First-principles (PBE) data for BaRhCl after structural relaxation, as listed in Alexandria via LeMat-Bulk.

Output
**Total moment**: 0.000 μB per atom
**Formation energy from raw total energies**: -0.79 eV/atom

Geometry as CIF:
```
data_BaRhCl
_space_group_name_H-M_alt 'P n m a'
_space_group_IT_number 62
_space_group_name_Hall '-P 2ac 2n'
_cell_length_a 6.1311
_cell_length_b 6.1509
_cell_length_c 8.2501
_cell_angle_alpha 90.00
_cell_angle_beta 90.00
_cell_angle_gamma 90.00
loop_
_atom_site_label
_atom_site_type_symbol
_atom_site_fract_x
_atom_site_fract_y
_atom_site_fract_z
Ba1 Ba 0.2503 0.2500 0.0860
Rh1 Rh 0.0004 0.2500 0.7499
Cl1 Cl 0.2505 0.2500 0.5319
```



First-principles (PBE) data for BaRhCl after structural relaxation, as listed in Alexandria via LeMat-Bulk.

Output
**Total moment**: 0.000 μB per atom
**Formation energy from raw total energies**: -0.42 eV/atom

Geometry as CIF:
```
data_BaRhCl
_space_group_name_H-M_alt 'P 4/n m m'
_space_group_IT_number 129
_cell_length_a 4.9957
_cell_length_b 4.9957
_cell_length_c 6.0456
_cell_angle_alpha 90.00
_cell_angle_beta 90.00
_cell_angle_gamma 90.00
loop_
_space_group_symop_operation_xyz
'x,y,z'
'-x,-y,-z'
'-y+1/2,x,z'
'y+1/2,-x,-z'
'-x+1/2,-y+1/2,z'
'x+1/2,y+1/2,-z'
'y,-x+1/2,z'
'-y,x+1/2,-z'
'x+1/2,-y,-z'
'-x+1/2,y,z'
'-y,-x,-z'
'y,x,z'
'-x,y+1/2,-z'
'x,-y+1/2,z'
'y+1/2,x+1/2,-z'
'-y+1/2,-x+1/2,z'
loop_
_atom_site_label
_atom_site_type_symbol
_atom_site_fract_x
_atom_site_fract_y
_atom_site_fract_z
Ba1 Ba 0.2500 0.2500 0.1712
Rh1 Rh 0.2500 0.2500 0.7354
Cl1 Cl 0.2500 0.7500 0.5000
```



First-principles (PBE) data for BaRhCl after structural relaxation, as listed in Alexandria via LeMat-Bulk.

Output
**Total moment**: 0.013 μB per atom
**Formation energy from raw total energies**: -0.30 eV/atom

Geometry as CIF:
```
data_BaRhCl
_space_group_name_H-M_alt 'I 4 m m'
_space_group_IT_number 107
_space_group_name_Hall 'I 4 -2'
_cell_length_a 3.6675
_cell_length_b 3.6675
_cell_length_c 11.0036
_cell_angle_alpha 90.00
_cell_angle_beta 90.00
_cell_angle_gamma 90.00
loop_
_atom_site_label
_atom_site_type_symbol
_atom_site_fract_x
_atom_site_fract_y
_atom_site_fract_z
Ba1 Ba 0.0000 0.0000 0.0000
Rh1 Rh 0.0000 0.0000 0.6666
Cl1 Cl 0.0000 0.0000 0.3133
```